Below is a geometry-optimized TaAlCl2 structure, with properties calculated at the PBEsol level.

Structure (POSCAR):
```
TaAlCl2
1.0
1.517 0.876 10.850
-1.517 0.876 10.850
0.000 -1.752 10.850
Ta Al Cl
1 1 2
Direct
0.000 0.000 0.000
0.500 0.500 0.500
0.278 0.278 0.278
0.722 0.722 0.722
```

SG: R-3m
calculated volume: 21.63 Å³/atom
ΔE_f (raw): -155 kJ/mol of formula units
distance to the lowest polymorph of the same formula: 0.0000 eV/atom
final energy: -5.57 eV/atom
D(E_F): 1.615 states/eV/f.u.
total magnetization: 0.000 μB/atom

---

Below is a geometry-optimized Ta2AlCl structure, with properties calculated at the PBEsol level.

Structure (POSCAR):
```
Ta2AlCl
1.0
0.000 3.249 3.249
3.249 0.000 3.249
3.249 3.249 0.000
Ta Al Cl
2 1 1
Direct
0.000 0.000 0.000
0.250 0.250 0.250
0.750 0.750 0.750
0.500 0.500 0.500
```

SG: F-43m
calculated volume: 17.15 Å³/atom
ΔE_f (raw): 240 kJ/mol of formula units
distance to the lowest polymorph of the same formula: 0.5319 eV/atom
final energy: -7.18 eV/atom
D(E_F): 5.166 states/eV/f.u.
total magnetization: 0.000 μB/atom